# 1
TiBPb3 | GGA-PBEsol | relaxed

Output
energy of formation from the pure elements: 0.973 eV per atom
electronic total energy: -4.49 eV per atom
theoretical density: 9.381 g cm⁻³
M_tot: 2.05 μB/cell
D(E_F): 6.4 states/eV per cell

Lattice parameters (Å, degrees): 4.9381 4.9381 4.9381 90.00 90.00 90.00
Each line ends with the local moment (μB).
Fractional positions:
1 Pb 0.0000 0.5000 0.0000  0.00
2 Pb 0.0000 0.0000 0.5000  0.00
3 Pb 0.5000 0.0000 0.0000  0.00
4 B 0.0000 0.0000 0.0000  0.04
5 Ti 0.5000 0.5000 0.5000  1.54

# 2
Ba2Au | GGA-PBEsol | relaxed

Output
energy of formation from the pure elements: -0.446 eV per atom
electronic total energy: -3.19 eV per atom
theoretical density: 5.510 g cm⁻³
M_tot: 0.00 μB/cell
D(E_F): 2.4 states/eV per cell

Lattice parameters (Å, degrees): 4.6979 4.6979 7.4364 90.00 90.00 120.00
Fractional positions:
1 Au 0.0000 0.0000 0.0000
2 Ba 0.3333 0.6667 0.7671
3 Ba 0.6667 0.3333 0.2329

# 3
Cu2Au | GGA-PBEsol | relaxed

Output
energy of formation from the pure elements: -0.017 eV per atom
electronic total energy: -4.21 eV per atom
theoretical density: 13.523 g cm⁻³
M_tot: 0.00 μB/cell
relative energy among the computed polymorphs: 0.07 eV/f.u.
D(E_F): 1.9 states/eV per cell

Lattice parameters (Å, degrees): 2.7184 5.1059 6.2272 106.56 90.00 105.44
Fractional positions:
1 Au 0.0226 0.0452 0.7837
2 Au 0.9774 0.9548 0.2163
3 Cu 0.6575 0.3149 0.5431
4 Cu 0.3054 0.6109 0.8680
5 Cu 0.6946 0.3891 0.1320
6 Cu 0.3425 0.6851 0.4569

# 4
ReNi5 | GGA-PBEsol | relaxed

Output
energy of formation from the pure elements: -0.023 eV per atom
electronic total energy: -7.38 eV per atom
theoretical density: 12.086 g cm⁻³
M_tot: 0.00 μB/cell
relative energy among the computed polymorphs: 0.00 eV/f.u.
D(E_F): 8.8 states/eV per cell

Lattice parameters (Å, degrees): 4.0750 4.3214 4.3214 120.00 90.00 90.00
Fractional positions:
1 Ni 0.0000 0.3351 0.3351
2 Ni 0.0000 0.6649 0.0000
3 Ni 0.0000 0.0000 0.6649
4 Ni 0.5000 0.3333 0.6667
5 Ni 0.5000 0.6667 0.3333
6 Re 0.5000 0.0000 0.0000

# 5
FeHg | GGA-PBEsol | relaxed

Output
energy of formation from the pure elements: 0.287 eV per atom
electronic total energy: -4.48 eV per atom
theoretical density: 13.010 g cm⁻³
M_tot: 4.93 μB/cell
D(E_F): 3.2 states/eV per cell

Lattice parameters (Å, degrees): 2.9982 2.9997 7.4313 90.00 101.64 90.00
Each line ends with the local moment (μB).
Fractional positions:
1 Fe 0.7876 0.7500 0.5752  2.48
2 Fe 0.2124 0.2500 0.4248  2.48
3 Hg 0.5871 0.7500 0.1742  -0.02
4 Hg 0.4129 0.2500 0.8258  -0.02

# 6
MoIrCl2 | GGA-PBEsol | relaxed

Output
electronic total energy: -6.47 eV per atom
theoretical density: 8.794 g cm⁻³
energy relative to the elements, uncorrected: -67 meV/atom
M_tot: 0.00 μB/cell
relative energy among the computed polymorphs: 0.72 eV/f.u.
D(E_F): 4.3 states/eV per cell

Lattice parameters (Å, degrees): 2.9380 2.9380 9.2268 80.84 80.84 60.00
Fractional positions:
1 Mo 0.2477 0.2477 0.2568
2 Ir 0.5066 0.5066 0.4803
3 Cl 0.9805 0.9805 0.0585
4 Cl 0.7652 0.7652 0.7044

# 7
TlReRh2 | GGA-PBEsol | relaxed

Output
energy of formation from the pure elements: 0.448 eV per atom
electronic total energy: -7.61 eV per atom
theoretical density: 15.831 g cm⁻³
M_tot: 0.31 μB/cell
relative energy among the computed polymorphs: 0.32 eV/f.u.
D(E_F): 5.2 states/eV per cell

Lattice parameters (Å, degrees): 2.8139 4.7150 4.7150 90.00 90.00 90.00
Each line ends with the local moment (μB).
Fractional positions:
1 Re 0.5000 0.0000 0.0000  0.23
2 Rh 0.0000 0.0000 0.5000  0.03
3 Rh 0.0000 0.5000 0.0000  0.03
4 Tl 0.5000 0.5000 0.5000  0.00

# 8
TePS2N | GGA-PBEsol | relaxed

Output
electronic total energy: -4.03 eV per atom
theoretical density: 4.105 g cm⁻³
energy relative to the elements, uncorrected: 1291 meV/atom
M_tot: 0.00 μB/cell
D(E_F): 2.4 states/eV per cell

Lattice parameters (Å, degrees): 3.8223 5.0053 5.0053 90.00 90.00 90.00
Fractional positions:
1 P 0.5000 0.5000 0.5000
2 S 0.0000 0.0000 0.5000
3 S 0.0000 0.5000 0.0000
4 Te 0.0000 0.0000 0.0000
5 N 0.5000 0.0000 0.0000